(1)
# KAsCl2, optimized geometry, DFT PBE
# final energy: -3.087 eV per atom
# ΔE_f (raw): -0.73 eV/atom
data_KAsCl2
_space_group_name_H-M_alt 'P m m m'
_space_group_IT_number 47
_cell_length_a 3.569
_cell_length_b 4.282
_cell_length_c 6.872
_cell_angle_alpha 90.00
_cell_angle_beta 90.00
_cell_angle_gamma 90.00
loop_
_space_group_symop_operation_xyz
'x,y,z'
'-x,-y,-z'
'-x,-y,z'
'x,y,-z'
'x,-y,-z'
'-x,y,z'
'-x,y,-z'
'x,-y,z'
loop_
_atom_site_label
_atom_site_fract_x
_atom_site_fract_y
_atom_site_fract_z
K1 0.000 0.000 0.000
As1 0.500 0.000 0.500
Cl1 0.500 0.500 0.261

(2)
# Er2ZrBi, optimized geometry, DFT PBE
# final energy: -5.649 eV per atom
# DFT formation energy: -0.2600 eV/atom
data_Er2ZrBi
_space_group_name_H-M_alt 'P 4/m m m'
_space_group_IT_number 123
_space_group_name_Hall '-P 4 2'
_cell_length_a 3.955
_cell_length_b 3.955
_cell_length_c 6.997
_cell_angle_alpha 90.00
_cell_angle_beta 90.00
_cell_angle_gamma 90.00
loop_
_atom_site_label
_atom_site_fract_x
_atom_site_fract_y
_atom_site_fract_z
Er1 0.000 0.000 0.247
Zr1 0.500 0.500 0.500
Bi1 0.500 0.500 0.000

(3)
# Tb9Dy4Ho11, optimized geometry, DFT PBE
# final energy: -4.552 eV per atom
# DFT formation energy: 0.0496 eV/atom
data_Tb9Dy4Ho11
_space_group_name_H-M_alt 'C m m m'
_space_group_IT_number 65
_space_group_name_Hall '-C 2 2'
_cell_length_a 16.585
_cell_length_b 25.025
_cell_length_c 3.650
_cell_angle_alpha 90.00
_cell_angle_beta 90.00
_cell_angle_gamma 90.00
loop_
_atom_site_label
_atom_site_fract_x
_atom_site_fract_y
_atom_site_fract_z
Tb1 0.000 0.000 0.000
Tb2 0.102 0.234 0.000
Tb3 0.141 0.427 0.000
Dy1 0.155 0.101 0.000
Ho1 0.000 0.133 0.500
Ho2 0.000 0.340 0.500
Ho3 0.000 0.500 0.500
Ho4 0.208 0.000 0.500
Ho5 0.226 0.319 0.500

(4)
# Cs2TlPt2, optimized geometry, DFT PBE
# final energy: -3.338 eV per atom
# DFT formation energy: -0.1070 eV/atom
data_Cs2TlPt2
_space_group_name_H-M_alt 'C 1 2/c 1'
_space_group_IT_number 15
_cell_length_a 10.921
_cell_length_b 7.576
_cell_length_c 8.063
_cell_angle_alpha 90.00
_cell_angle_beta 98.56
_cell_angle_gamma 90.00
loop_
_space_group_symop_operation_xyz
'x,y,z'
'-x,-y,-z'
'-x,y,-z+1/2'
'x,-y,z+1/2'
'x+1/2,y+1/2,z'
'-x+1/2,-y+1/2,-z'
'-x+1/2,y+1/2,-z+1/2'
'x+1/2,-y+1/2,z+1/2'
loop_
_atom_site_label
_atom_site_fract_x
_atom_site_fract_y
_atom_site_fract_z
Cs1 0.142 0.123 0.122
Tl1 0.000 0.452 0.750
Pt1 0.150 0.340 0.515